Entry 1:
First-principles (PBE) data for a relaxed LaSm2HoTm2 crystal, as listed in Alexandria.

Calculated values
The energy relative to the elements comes out at 0.16 eV/atom. The calculation puts the total magnetic moment at 0.00 μB per formula unit.

abc: 6.9580 16.2189 3.5292
angles: 90.00 90.00 90.00
Fractional coordinates of all 12 atoms:
La  0.0000  0.0000  0.0000
La  0.5000  0.5000  0.5000
Sm  0.2469  0.3389  0.0000
Sm  0.2531  0.8389  0.5000
Sm  0.7469  0.1611  0.5000
Sm  0.7531  0.6611  0.0000
Ho  0.0000  0.5000  0.5000
Ho  0.5000  0.0000  0.0000
Tm  0.2494  0.1536  0.5000
Tm  0.2506  0.6536  0.0000
Tm  0.7494  0.3464  0.0000
Tm  0.7506  0.8464  0.5000



Entry 2:
First-principles (PBE) data for a relaxed La5Sm2HoTm crystal, as listed in Alexandria.

Calculated values
The energy relative to the elements comes out at 0.28 eV/atom. The calculation puts the total magnetic moment at 0.00 μB per formula unit.

abc: 10.8402 10.8402 10.8402
angles: 134.14 134.14 66.87
Fractional coordinates of all 18 atoms:
La  0.0000  0.0000  0.0000
La  0.0795  0.5795  0.9421
La  0.1374  0.0795  0.5000
La  0.3626  0.8626  0.9421
La  0.4205  0.3626  0.5000
La  0.5000  0.5000  0.0000
La  0.5795  0.6374  0.5000
La  0.6374  0.1374  0.0579
La  0.8626  0.9205  0.5000
La  0.9205  0.4205  0.0579
Sm  0.1263  0.3737  0.5000
Sm  0.3737  0.8737  0.2473
Sm  0.6263  0.1263  0.7527
Sm  0.8737  0.6263  0.5000
Ho  0.2500  0.2500  0.0000
Ho  0.7500  0.7500  0.0000
Tm  0.2500  0.7500  0.5000
Tm  0.7500  0.2500  0.5000



Entry 3:
First-principles (PBE) data for a relaxed La4SmHo2Tm crystal, as listed in Alexandria.

Calculated values
The energy relative to the elements comes out at 0.08 eV/atom. The calculation puts the total magnetic moment at 0.00 μB per formula unit.

abc: 5.9594 5.9505 7.7692
angles: 90.00 90.03 90.00
Fractional coordinates of all 8 atoms:
La  0.0000  0.0000  0.2436
La  0.0000  0.0000  0.7564
La  0.4989  0.5000  0.7565
La  0.5011  0.5000  0.2435
Sm  0.5000  0.0000  0.5000
Ho  0.0000  0.5000  0.5000
Ho  0.5000  0.0000  0.0000
Tm  0.0000  0.5000  0.0000



Entry 4:
First-principles (PBE) data for a relaxed La6SmHoTm2 crystal, as listed in Alexandria.

Calculated values
The energy relative to the elements comes out at 0.19 eV/atom. The calculation puts the total magnetic moment at 0.00 μB per formula unit.

abc: 6.7136 6.7136 8.9271
angles: 101.22 101.22 64.53
Fractional coordinates of all 10 atoms:
La  0.0985  0.5398  0.1934
La  0.1401  0.1401  0.4395
La  0.4602  0.9015  0.8066
La  0.5398  0.0985  0.1934
La  0.8599  0.8599  0.5605
La  0.9015  0.4602  0.8066
Sm  0.5000  0.5000  0.5000
Ho  0.0000  0.0000  0.0000
Tm  0.4108  0.4108  0.8381
Tm  0.5892  0.5892  0.1619



Entry 5:
First-principles (PBE) data for a relaxed LaSm2HoTm crystal, as listed in Alexandria.

Calculated values
The energy relative to the elements comes out at 0.25 eV/atom. The calculation puts the total magnetic moment at 0.00 μB per formula unit.

abc: 3.6686 5.6097 8.5811
angles: 90.00 90.00 90.00
Fractional coordinates of all 5 atoms:
La  0.0000  0.0000  0.0000
Sm  0.0000  0.5000  0.3199
Sm  0.0000  0.5000  0.6801
Ho  0.5000  0.0000  0.5000
Tm  0.5000  0.5000  0.0000



Entry 6:
First-principles (PBE) data for a relaxed La2SmHo3Tm6 crystal, as listed in Alexandria.

Calculated values
The energy relative to the elements comes out at 0.03 eV/atom. The calculation puts the total magnetic moment at 0.00 μB per formula unit.

abc: 6.1625 6.1625 11.7058
angles: 95.03 95.03 119.96
Fractional coordinates of all 12 atoms:
La  0.1667  0.8333  0.0000
La  0.8333  0.1667  0.0000
Sm  0.5000  0.5000  0.0000
Ho  0.0000  0.0000  0.5000
Ho  0.3335  0.6665  0.5000
Ho  0.6665  0.3335  0.5000
Tm  0.0817  0.4144  0.7450
Tm  0.2531  0.2531  0.2551
Tm  0.4144  0.0817  0.7450
Tm  0.5856  0.9183  0.2550
Tm  0.7469  0.7469  0.7449
Tm  0.9183  0.5856  0.2550



Entry 7:
First-principles (PBE) data for a relaxed La2Sm2Ho4Tm crystal, as listed in Alexandria.

Calculated values
The energy relative to the elements comes out at 0.01 eV/atom. The calculation puts the total magnetic moment at 0.00 μB per formula unit.

abc: 9.5695 9.5695 9.6303
angles: 115.21 115.21 21.85
Fractional coordinates of all 9 atoms:
La  0.1645  0.1645  0.0006
La  0.8355  0.8355  0.9994
Sm  0.3532  0.3532  0.3375
Sm  0.6468  0.6468  0.6625
Ho  0.0202  0.0202  0.3335
Ho  0.3151  0.3151  0.6624
Ho  0.6849  0.6849  0.3376
Ho  0.9798  0.9798  0.6665
Tm  0.5000  0.5000  0.0000



Entry 8:
First-principles (PBE) data for a relaxed LaSm2HoTm4 crystal, as listed in Alexandria.

Calculated values
The energy relative to the elements comes out at 0.02 eV/atom. The calculation puts the total magnetic moment at 0.00 μB per formula unit.

abc: 7.1590 9.9255 7.1682
angles: 90.00 90.25 90.00
Fractional coordinates of all 16 atoms:
La  0.0000  0.0000  0.0000
La  0.0000  0.0000  0.5000
Sm  0.0000  0.5000  0.0000
Sm  0.5000  0.0000  0.0000
Sm  0.5000  0.5000  0.0000
Sm  0.5000  0.5000  0.5000
Ho  0.0000  0.5000  0.5000
Ho  0.5000  0.0000  0.5000
Tm  0.2517  0.2520  0.2514
Tm  0.2517  0.2521  0.7484
Tm  0.2517  0.7480  0.2514
Tm  0.2517  0.7479  0.7484
Tm  0.7483  0.2521  0.2516
Tm  0.7483  0.2520  0.7486
Tm  0.7483  0.7479  0.2516
Tm  0.7483  0.7480  0.7486



Entry 9:
First-principles (PBE) data for a relaxed La3SmHoTm crystal, as listed in Alexandria.

Calculated values
The energy relative to the elements comes out at 0.03 eV/atom. The calculation puts the total magnetic moment at 0.00 μB per formula unit.

abc: 8.0782 5.2047 10.3689
angles: 90.00 108.84 90.00
Fractional coordinates of all 12 atoms:
La  0.1700  0.2500  0.0411
La  0.1703  0.2500  0.5435
La  0.1729  0.7500  0.2934
La  0.8271  0.2500  0.7066
La  0.8297  0.7500  0.4565
La  0.8300  0.7500  0.9589
Sm  0.1719  0.7500  0.7928
Sm  0.8281  0.2500  0.2072
Ho  0.5001  0.2500  0.8768
Ho  0.4999  0.7500  0.1232
Tm  0.4973  0.7500  0.6260
Tm  0.5027  0.2500  0.3740



Entry 10:
First-principles (PBE) data for a relaxed La3Sm6HoTm2 crystal, as listed in Alexandria.

Calculated values
The energy relative to the elements comes out at 0.02 eV/atom. The calculation puts the total magnetic moment at 0.00 μB per formula unit.

abc: 6.2872 6.2872 12.0219
angles: 95.01 95.01 120.05
Fractional coordinates of all 12 atoms:
La  0.0000  0.0000  0.0000
La  0.3331  0.6669  0.0000
La  0.6669  0.3331  0.0000
Sm  0.0856  0.4192  0.2574
Sm  0.2471  0.2471  0.7427
Sm  0.4192  0.0856  0.2574
Sm  0.5808  0.9144  0.7426
Sm  0.7529  0.7529  0.2573
Sm  0.9144  0.5808  0.7426
Ho  0.5000  0.5000  0.5000
Tm  0.1667  0.8333  0.5000
Tm  0.8333  0.1667  0.5000



Entry 11:
First-principles (PBE) data for a relaxed La4SmHoTm2 crystal, as listed in Alexandria.

Calculated values
The energy relative to the elements comes out at 0.02 eV/atom. The calculation puts the total magnetic moment at 0.00 μB per formula unit.

abc: 5.2188 5.2435 9.9473
angles: 90.00 90.00 90.00
Fractional coordinates of all 8 atoms:
La  0.0000  0.0000  0.2483
La  0.0000  0.0000  0.7517
La  0.5000  0.5000  0.2479
La  0.5000  0.5000  0.7521
Sm  0.0000  0.5000  0.5000
Ho  0.5000  0.0000  0.0000
Tm  0.0000  0.5000  0.0000
Tm  0.5000  0.0000  0.5000



Entry 12:
First-principles (PBE) data for a relaxed La2Sm2HoTm2 crystal, as listed in Alexandria.

Calculated values
The energy relative to the elements comes out at 0.03 eV/atom. The calculation puts the total magnetic moment at 0.00 μB per formula unit.

abc: 6.2656 6.2656 8.0459
angles: 97.65 97.65 48.21
Fractional coordinates of all 7 atoms:
La  0.1432  0.1432  0.4270
La  0.8568  0.8568  0.5730
Sm  0.4295  0.4295  0.2784
Sm  0.5705  0.5705  0.7216
Ho  0.0000  0.0000  0.0000
Tm  0.2840  0.2840  0.8627
Tm  0.7160  0.7160  0.1373



Entry 13:
First-principles (PBE) data for a relaxed LaSm3HoTm crystal, as listed in Alexandria.

Calculated values
The energy relative to the elements comes out at 0.21 eV/atom. The calculation puts the total magnetic moment at 0.00 μB per formula unit.

abc: 10.6038 10.6038 6.8843
angles: 91.06 91.06 31.51
Fractional coordinates of all 12 atoms:
La  0.1452  0.1452  0.0242
La  0.8548  0.8548  0.9758
Sm  0.0197  0.0197  0.7427
Sm  0.2801  0.2801  0.7429
Sm  0.3408  0.3408  0.2639
Sm  0.6592  0.6592  0.7361
Sm  0.7199  0.7199  0.2571
Sm  0.9803  0.9803  0.2573
Ho  0.1441  0.1441  0.4695
Ho  0.8559  0.8559  0.5305
Tm  0.4426  0.4426  0.7246
Tm  0.5574  0.5574  0.2754



Entry 14:
First-principles (PBE) data for a relaxed La2SmHo6Tm3 crystal, as listed in Alexandria.

Calculated values
The energy relative to the elements comes out at 0.03 eV/atom. The calculation puts the total magnetic moment at 0.00 μB per formula unit.

abc: 6.1750 6.1750 11.7858
angles: 95.01 95.01 119.99
Fractional coordinates of all 12 atoms:
La  0.1666  0.8334  0.0000
La  0.8334  0.1666  0.0000
Sm  0.5000  0.5000  0.0000
Ho  0.0814  0.4141  0.7436
Ho  0.2534  0.2534  0.2563
Ho  0.4141  0.0814  0.7436
Ho  0.5859  0.9186  0.2564
Ho  0.7466  0.7466  0.7437
Ho  0.9186  0.5859  0.2564
Tm  0.0000  0.0000  0.5000
Tm  0.3335  0.6665  0.5000
Tm  0.6665  0.3335  0.5000



Entry 15:
First-principles (PBE) data for a relaxed La2Sm3Ho6Tm crystal, as listed in Alexandria.

Calculated values
The energy relative to the elements comes out at 0.02 eV/atom. The calculation puts the total magnetic moment at 0.00 μB per formula unit.

abc: 6.2170 6.2170 11.8277
angles: 95.01 95.01 119.98
Fractional coordinates of all 12 atoms:
La  0.1663  0.8337  0.0000
La  0.8337  0.1663  0.0000
Sm  0.0000  0.0000  0.5000
Sm  0.3333  0.6667  0.5000
Sm  0.6667  0.3333  0.5000
Ho  0.0839  0.4159  0.7485
Ho  0.2522  0.2522  0.2519
Ho  0.4159  0.0839  0.7485
Ho  0.5841  0.9161  0.2515
Ho  0.7478  0.7478  0.7481
Ho  0.9161  0.5841  0.2515
Tm  0.5000  0.5000  0.0000



Entry 16:
First-principles (PBE) data for a relaxed La2Sm3Y6Ho crystal, as listed in Alexandria.

Calculated values
The energy relative to the elements comes out at 0.01 eV/atom. The calculation puts the total magnetic moment at 0.00 μB per formula unit.

abc: 6.2631 6.2631 11.9018
angles: 95.02 95.02 119.99
Fractional coordinates of all 12 atoms:
La  0.1662  0.8338  0.0000
La  0.8338  0.1662  0.0000
Sm  0.0000  0.0000  0.5000
Sm  0.3333  0.6667  0.5000
Sm  0.6667  0.3333  0.5000
Y  0.0838  0.4161  0.7483
Y  0.2518  0.2518  0.2521
Y  0.4161  0.0838  0.7483
Y  0.5839  0.9162  0.2517
Y  0.7482  0.7482  0.7479
Y  0.9162  0.5839  0.2517
Ho  0.5000  0.5000  0.0000



Entry 17:
First-principles (PBE) data for a relaxed La6SmY2Ho crystal, as listed in Alexandria.

Calculated values
The energy relative to the elements comes out at 0.19 eV/atom. The calculation puts the total magnetic moment at 0.00 μB per formula unit.

abc: 6.7453 6.7453 9.0774
angles: 102.29 102.29 63.61
Fractional coordinates of all 10 atoms:
La  0.0947  0.5379  0.1947
La  0.1348  0.1348  0.4300
La  0.4621  0.9053  0.8053
La  0.5379  0.0947  0.1947
La  0.8652  0.8652  0.5700
La  0.9053  0.4621  0.8053
Sm  0.5000  0.5000  0.5000
Y  0.4141  0.4141  0.8339
Y  0.5859  0.5859  0.1661
Ho  0.0000  0.0000  0.0000



Entry 18:
First-principles (PBE) data for a relaxed LaSm5YHo2 crystal, as listed in Alexandria.

Calculated values
The energy relative to the elements comes out at 0.15 eV/atom. The calculation puts the total magnetic moment at 0.00 μB per formula unit.

abc: 10.4478 10.4478 10.6776
angles: 90.00 90.00 148.38
Fractional coordinates of all 18 atoms:
La  0.0832  0.9168  0.5000
La  0.9168  0.0832  0.0000
Sm  0.0200  0.9800  0.7878
Sm  0.1134  0.8866  0.0713
Sm  0.2028  0.7972  0.7564
Sm  0.2185  0.7815  0.3609
Sm  0.4826  0.5174  0.0719
Sm  0.5174  0.4826  0.5719
Sm  0.7815  0.2185  0.8609
Sm  0.7972  0.2028  0.2564
Sm  0.8866  0.1134  0.5713
Sm  0.9800  0.0200  0.2878
Y  0.2994  0.7006  0.0595
Y  0.7006  0.2994  0.5595
Ho  0.3847  0.6153  0.3680
Ho  0.3872  0.6128  0.7808
Ho  0.6128  0.3872  0.2808
Ho  0.6153  0.3847  0.8680



Entry 19:
First-principles (PBE) data for a relaxed LaSmY3Ho crystal, as listed in Alexandria.

Calculated values
The energy relative to the elements comes out at 0.11 eV/atom. The calculation puts the total magnetic moment at 0.00 μB per formula unit.

abc: 6.4402 6.4402 11.8354
angles: 90.00 90.00 125.34
Fractional coordinates of all 12 atoms:
La  0.0032  0.9968  0.7500
La  0.9968  0.0032  0.2500
Sm  0.5000  0.5000  0.0000
Sm  0.5000  0.5000  0.5000
Y  0.1740  0.8260  0.0026
Y  0.1740  0.8260  0.4974
Y  0.3277  0.6723  0.7500
Y  0.6723  0.3277  0.2500
Y  0.8260  0.1740  0.5026
Y  0.8260  0.1740  0.9974
Ho  0.3303  0.6697  0.2500
Ho  0.6697  0.3303  0.7500



Entry 20:
First-principles (PBE) data for a relaxed La2Sm3YHo6 crystal, as listed in Alexandria.

Calculated values
The energy relative to the elements comes out at 0.02 eV/atom. The calculation puts the total magnetic moment at 0.00 μB per formula unit.

abc: 6.2308 6.2308 11.8402
angles: 95.02 95.02 119.99
Fractional coordinates of all 12 atoms:
La  0.1661  0.8339  0.0000
La  0.8339  0.1661  0.0000
Sm  0.0000  0.0000  0.5000
Sm  0.3333  0.6667  0.5000
Sm  0.6667  0.3333  0.5000
Y  0.5000  0.5000  0.0000
Ho  0.0825  0.4154  0.7477
Ho  0.2520  0.2520  0.2527
Ho  0.4154  0.0825  0.7477
Ho  0.5846  0.9175  0.2523
Ho  0.7480  0.7480  0.7473
Ho  0.9175  0.5846  0.2523